Below is Hf2TlOs after structural relaxation, with properties calculated at the PBE level.

a b c (Å): 4.760 4.760 4.760
angles (deg): 60.00 60.00 60.00
Positions (direct):
Hf: 0.000 0.000 0.000
Hf: 0.750 0.750 0.750
Os: 0.250 0.250 0.250
Tl: 0.500 0.500 0.500

Results
SG: F-43m (216)
VASP energy, eV per atom: -8.156